[1]
# PBE LiHoPaTc, relaxed
data_LiHoPaTc
_chemical_formula_sum 'Li4 Ho4 Pa4 Tc4'
_space_group_name_H-M_alt 'F -4 3 m'
_space_group_IT_number 216
_space_group_name_Hall 'F -4 2 3'
_cell_length_a 6.928
_cell_length_b 6.928
_cell_length_c 6.928
_cell_angle_alpha 90.00
_cell_angle_beta 90.00
_cell_angle_gamma 90.00
loop_
_atom_site_label
_atom_site_fract_x
_atom_site_fract_y
_atom_site_fract_z
Li1 0.000 0.000 0.000
Ho1 0.250 0.250 0.250
Pa1 0.250 0.250 0.750
Tc1 0.000 0.000 0.500
# **Energy relative to the elements**: 0.043 eV/atom
# **Calculated total energy**: -104.723 eV for the cell shown

[2]
# PBE SiS, relaxed
data_SiS
_chemical_formula_sum 'Si2 S2'
_space_group_name_H-M_alt 'P -1'
_space_group_IT_number 2
_cell_length_a 3.440
_cell_length_b 3.442
_cell_length_c 8.412
_cell_angle_alpha 80.84
_cell_angle_beta 79.39
_cell_angle_gamma 60.03
loop_
_space_group_symop_operation_xyz
'x,y,z'
'-x,-y,-z'
loop_
_atom_site_label
_atom_site_fract_x
_atom_site_fract_y
_atom_site_fract_z
Si1 0.132 0.144 0.102
S1 0.415 0.446 0.248
# **ΔE_f (raw)**: -309 meV/atom
# **Calculated total energy**: -20.338 eV for the cell shown

[3]
# PBE Pr2SmAgN, relaxed
data_Pr2SmAgN
_chemical_formula_sum 'Pr2 Sm1 Ag1 N1'
_space_group_name_H-M_alt 'P 4/m m m'
_space_group_IT_number 123
_space_group_name_Hall '-P 4 2'
_cell_length_a 5.087
_cell_length_b 5.087
_cell_length_c 4.874
_cell_angle_alpha 90.00
_cell_angle_beta 90.00
_cell_angle_gamma 90.00
loop_
_atom_site_label
_atom_site_fract_x
_atom_site_fract_y
_atom_site_fract_z
Pr1 0.000 0.500 0.000
Sm1 0.000 0.000 0.500
Ag1 0.500 0.500 0.500
N1 0.000 0.000 0.000
# **ΔE_f (raw)**: -582 meV/atom
# **Calculated total energy**: -28.363 eV for the cell shown

[4]
# PBE CdPd14Pb, relaxed
data_CdPd14Pb
_chemical_formula_sum 'Cd1 Pd14 Pb1'
_space_group_name_H-M_alt 'P 4/m m m'
_space_group_IT_number 123
_space_group_name_Hall '-P 4 2'
_cell_length_a 5.706
_cell_length_b 5.706
_cell_length_c 7.896
_cell_angle_alpha 90.00
_cell_angle_beta 90.00
_cell_angle_gamma 90.00
loop_
_atom_site_label
_atom_site_fract_x
_atom_site_fract_y
_atom_site_fract_z
Cd1 0.000 0.000 0.000
Pd1 0.000 0.000 0.500
Pd2 0.000 0.500 0.000
Pd3 0.000 0.500 0.500
Pd4 0.249 0.249 0.256
Pd5 0.500 0.500 0.500
Pb1 0.500 0.500 0.000
# **Energy relative to the elements**: -0.119 eV/atom
# **Calculated total energy**: -79.221 eV for the cell shown

[5]
# PBE LiCu4Ni3, relaxed
data_LiCu4Ni3
_chemical_formula_sum 'Li2 Cu8 Ni6'
_space_group_name_H-M_alt 'I 4/m m m'
_space_group_IT_number 139
_space_group_name_Hall '-I 4 2'
_cell_length_a 4.075
_cell_length_b 4.075
_cell_length_c 11.053
_cell_angle_alpha 90.00
_cell_angle_beta 90.00
_cell_angle_gamma 90.00
loop_
_atom_site_label
_atom_site_fract_x
_atom_site_fract_y
_atom_site_fract_z
Li1 0.000 0.000 0.000
Cu1 0.000 0.500 0.125
Ni1 0.000 0.000 0.255
Ni2 0.000 0.000 0.500
# **Energy relative to the elements**: 0.018 eV/atom
# **Calculated total energy**: -70.998 eV for the cell shown

[6]
# PBE Zn2SnIr, relaxed
data_Zn2SnIr
_chemical_formula_sum 'Zn8 Sn4 Ir4'
_space_group_name_H-M_alt 'I -4 2 d'
_space_group_IT_number 122
_space_group_name_Hall 'I -4 2bw'
_cell_length_a 7.960
_cell_length_b 7.960
_cell_length_c 5.131
_cell_angle_alpha 90.00
_cell_angle_beta 90.00
_cell_angle_gamma 90.00
loop_
_atom_site_label
_atom_site_fract_x
_atom_site_fract_y
_atom_site_fract_z
Zn1 0.180 0.250 0.125
Sn1 0.000 0.000 0.500
Ir1 0.000 0.000 0.000
# **Energy relative to the elements**: 0.187 eV/atom
# **Calculated total energy**: -58.653 eV for the cell shown